Te2MoNO after structural relaxation, computed with PBE with a Hubbard U.

Summary:
D(E_F) = 1.0470 states/eV per atom
Energy relative to the lowest polymorph listed for this composition = 0.0000 eV per atom
M_tot = 0.236 μB per atom
Volume = 112 Å³ per cell
Space group = P4/mmm, No. 123
Electronic total energy = -22.0 eV per formula unit

abc: 5.4326 5.4326 3.7809
angles: 90.00 90.00 90.00
Element x y z (fractional)
1 Te 0.0000 0.5000 0.0000
2 O 0.5000 0.5000 0.5000
3 N 0.0000 0.0000 0.5000
4 Mo 0.0000 0.0000 0.0000
5 Te 0.5000 0.0000 0.0000